1.
SnAsO3 (PBE-GGA, relaxed); raw formation energy = -2.86 eV/f.u.; energy = -26.387 eV per formula unit; calculated volume = 64.7 Å³ per cell
1.0
-2.1811 -0.3123 3.3562
-2.8535 -1.9568 -2.0365
1.7942 -3.4918 0.8410
O As Sn
3 1 1
direct
0.0000 0.0000 0.5000 O
0.0000 0.5000 0.0000 O
0.5000 0.0000 0.0000 O
0.5000 0.5000 0.5000 As
0.0000 0.0000 0.0000 Sn



2.
Y7Ho3Tm (PBE-GGA, relaxed); offset from the most stable computed form = 0.000 eV per atom; energy of formation = 0.148 eV/atom; energy = -61.828 eV per formula unit; calculated volume = 357.9 Å³ per cell
1.0
-4.9926 2.1413 0.9947
-4.2786 -8.3566 -3.4616
6.1441 -2.6293 5.8130
Y Ho Tm
7 3 1
direct
0.3185 0.6373 0.8186 Y
0.0887 0.1701 0.0886 Y
0.1427 0.2896 0.6428 Y
0.5000 0.0000 0.5000 Y
0.6815 0.3627 0.1814 Y
0.9113 0.8299 0.9114 Y
0.8573 0.7104 0.3572 Y
0.0000 0.5000 0.0000 Ho
0.2802 0.0018 0.7803 Ho
0.7198 0.9982 0.2197 Ho
0.5000 0.5000 0.5000 Tm



> Which value of calculated volume does entry 2 give?

357.9 Å³ per cell